A relaxed SiHg2Ru crystal, computed with PBE-GGA.

Results
E_form (uncorrected): 0.1501 eV per atom

Unit cell a=9.1283 b=9.1283 c=9.1283 alpha=19.79 beta=19.79 gamma=19.79
Element x y z (fractional)
Hg  0.0080  0.0080  0.0080
Hg  0.2401  0.2401  0.2401
Ru  0.4870  0.4870  0.4870
Si  0.7649  0.7649  0.7649

***

A relaxed Np2TlF7 crystal, computed with PBE-GGA.

Results
E_form (uncorrected): -3.0746 eV per atom

Unit cell a=4.5676 b=7.0805 c=7.0805 alpha=117.33 beta=90.00 gamma=90.00
Site moments in Bohr magnetons follow the coordinates.
Element x y z (fractional)
Np  0.5000  0.6900  0.3100  3.94
Np  0.5000  0.3100  0.6900  3.94
Tl  0.0000  0.0000  0.0000  0.01
F  0.0000  0.7097  0.2903  -0.02
F  0.0000  0.2903  0.7097  -0.02
F  0.5000  0.0422  0.3327  -0.01
F  0.5000  0.9578  0.6673  -0.01
F  0.5000  0.3327  0.0422  -0.01
F  0.5000  0.6673  0.9578  -0.01
F  0.5000  0.5000  0.5000  -0.02

***

A relaxed Ca2Ag2Au crystal, computed with PBE-GGA.

Results
relative energy among the computed polymorphs: 133.5 meV/atom
energy of formation from the pure elements: -319 meV/atom

Unit cell a=7.6808 b=7.6808 c=5.9630 alpha=45.86 beta=45.86 gamma=32.55
Element x y z (fractional)
Ca  0.7012  0.7012  0.8261
Ca  0.2988  0.2988  0.1739
Ag  0.4130  0.4130  0.4679
Ag  0.5870  0.5870  0.5321
Au  0.0000  0.0000  0.0000

***

A relaxed NdGa4Ni2 crystal, computed with PBE-GGA.

Results
relative energy among the computed polymorphs: 112.0 meV/atom
energy of formation from the pure elements: -423 meV/atom

Unit cell a=3.9923 b=7.6766 c=7.6766 alpha=90.00 beta=90.00 gamma=90.00
Element x y z (fractional)
Nd  0.5000  0.0000  0.0000
Nd  0.0000  0.5000  0.5000
Ga  0.0000  0.0804  0.3258
Ga  0.0000  0.9196  0.6742
Ga  0.5000  0.1742  0.5804
Ga  0.5000  0.8258  0.4196
Ga  0.5000  0.4196  0.8258
Ga  0.5000  0.5804  0.1742
Ga  0.0000  0.3258  0.0804
Ga  0.0000  0.6742  0.9196
Ni  0.0000  0.2198  0.7802
Ni  0.0000  0.7802  0.2198
Ni  0.5000  0.7198  0.7198
Ni  0.5000  0.2802  0.2802

***

A relaxed Li4Mg7In crystal, computed with PBE-GGA.

Results
energy of formation from the pure elements: 76 meV/atom

Unit cell a=5.3640 b=10.4811 c=6.3771 alpha=108.64 beta=65.13 gamma=75.17
Element x y z (fractional)
Li  0.6396  0.2413  0.4794
Li  0.3604  0.7587  0.5206
Li  0.6227  0.7212  0.0334
Li  0.3773  0.2788  0.9666
Mg  0.8462  0.9066  0.4009
Mg  0.1538  0.0934  0.5991
Mg  0.9794  0.6186  0.4225
Mg  0.0206  0.3814  0.5775
Mg  0.2905  0.5800  0.8391
Mg  0.5000  0.0000  0.0000
Mg  0.7095  0.4200  0.1609
In  0.0000  0.0000  0.0000

***

A relaxed Cs2Pb2S2O crystal, computed with PBE-GGA.

Results
E_form (uncorrected): -0.9236 eV per atom

Unit cell a=5.8481 b=8.7441 c=8.2800 alpha=47.22 beta=70.27 gamma=53.41
Element x y z (fractional)
Cs  0.6920  0.9344  0.7839
Cs  0.3080  0.0656  0.2161
Pb  0.7506  0.4009  0.7372
Pb  0.2494  0.5991  0.2628
S  0.8660  0.4392  0.3702
S  0.1340  0.5608  0.6298
O  0.0000  0.0000  0.0000

***

| no. | size of the total moment (μB/f.u.) |
| --- | --- |
| 1 | 0.0 |
| 2 | 8.0 |
| 3 | 0.0 |
| 4 | 0.0 |
| 5 | 0.0 |
| 6 | 0.0 |